No. 1
! CeGaPdRh (GGA-PBE, optimized geometry); values from VASP
&SYSTEM
  ibrav = 0, nat = 4, ntyp = 4
/
ATOMIC_SPECIES
Ce 140.12 Ce.upf
Rh 102.91 Rh.upf
Pd 106.42 Pd.upf
Ga 69.72 Ga.upf
CELL_PARAMETERS angstrom
4.710 0.000 0.000
2.355 4.079 0.000
2.355 1.360 3.846
ATOMIC_POSITIONS angstrom
Ce 7.065 4.079 2.884
Rh 0.000 0.000 0.000
Pd 4.710 2.719 1.923
Ga 2.355 1.360 0.961
! * calculated volume: 18.47 Å³/atom
! * ΔE_f: -656 meV/atom
! * symmetry: No. 216



No. 2
! ThPa2SiN6 (GGA-PBE, optimized geometry); values from VASP
&SYSTEM
  ibrav = 0, nat = 10, ntyp = 4
/
ATOMIC_SPECIES
N 14.01 N.upf
Th 232.04 Th.upf
Pa 231.04 Pa.upf
Si 28.09 Si.upf
CELL_PARAMETERS angstrom
-0.782 2.602 -4.646
0.769 -4.475 -2.635
-5.136 -1.046 0.279
ATOMIC_POSITIONS angstrom
N -4.355 0.094 -3.843
Th -2.600 -1.376 -3.651
N -1.588 0.658 -3.993
N -1.174 -1.753 -5.412
N -2.265 -2.489 -1.663
N -3.941 -2.316 -5.262
N -0.212 0.707 -1.262
Pa -3.336 2.031 -4.422
Si -0.473 1.575 -2.813
Pa -0.384 0.317 -5.879
! * calculated volume: 14.83 Å³/atom
! * raw formation energy: -1.08 eV/atom
! * symmetry: No. 99



No. 3
! Ho2ZrB2Rh5 (GGA-PBE, optimized geometry); values from VASP
&SYSTEM
  ibrav = 0, nat = 20, ntyp = 4
/
ATOMIC_SPECIES
Rh 102.91 Rh.upf
Ho 164.93 Ho.upf
Zr 91.22 Zr.upf
B 10.81 B.upf
CELL_PARAMETERS angstrom
3.264 0.000 0.000
0.000 9.656 0.000
0.000 0.000 9.656
ATOMIC_POSITIONS angstrom
Rh 1.632 4.142 2.656
Rh 1.632 2.172 0.686
Rh 1.632 8.970 2.172
Ho 0.000 3.143 7.971
Zr 0.000 0.000 0.000
Rh 1.632 7.000 4.142
Ho 0.000 7.971 6.513
Rh 1.632 4.828 0.000
Zr 0.000 4.828 4.828
Rh 1.632 0.686 7.483
B 0.000 1.157 5.985
Rh 1.632 0.000 4.828
B 0.000 3.671 1.157
Rh 1.632 5.513 7.000
Rh 1.632 7.483 8.970
Ho 0.000 6.513 1.685
B 0.000 5.985 8.499
Rh 1.632 2.656 5.513
Ho 0.000 1.685 3.143
B 0.000 8.499 3.671
! * calculated volume: 15.22 Å³/atom
! * ΔE_f: -830 meV/atom
! * symmetry: No. 127



No. 4
! SmTl2InSe4 (GGA-PBE, optimized geometry); values from VASP
&SYSTEM
  ibrav = 0, nat = 16, ntyp = 4
/
ATOMIC_SPECIES
Se 78.96 Se.upf
Tl 204.38 Tl.upf
In 114.82 In.upf
Sm 150.36 Sm.upf
CELL_PARAMETERS angstrom
8.732 -0.052 -0.076
-0.058 8.732 -0.076
-4.319 -4.322 6.212
ATOMIC_POSITIONS angstrom
Se 0.063 0.239 2.865
Tl 4.337 4.340 -0.076
Tl 4.366 -0.026 -0.038
Se 1.938 2.116 0.165
Se 4.292 4.119 3.195
Tl 2.207 -2.187 3.068
Tl -2.159 -2.161 3.106
Se 2.417 2.242 5.895
Se 0.014 4.145 2.894
Se 6.765 2.110 0.061
In 4.413 -4.374 6.136
Se -2.409 2.248 6.000
Sm 6.544 2.153 2.992
In 2.178 2.179 3.030
Se 4.341 0.213 3.166
Sm -0.029 4.366 -0.038
! * calculated volume: 29.25 Å³/atom
! * raw formation energy: -0.88 eV/atom
! * symmetry: No. 74



No. 5
! CsBAu3 (GGA-PBE, optimized geometry); values from VASP
&SYSTEM
  ibrav = 0, nat = 5, ntyp = 3
/
ATOMIC_SPECIES
Au 196.97 Au.upf
Cs 132.91 Cs.upf
B 10.81 B.upf
CELL_PARAMETERS angstrom
-2.543 2.721 -2.973
-3.490 0.272 3.234
2.016 3.903 1.848
ATOMIC_POSITIONS angstrom
Au -1.272 1.361 -1.487
Au 1.008 1.951 0.924
Cs -2.009 3.448 1.054
Au -1.745 0.136 1.617
B 0.000 0.000 0.000
! * polymorph energy (0 for the lowest one): 0.0 kJ per mole of atoms
! * calculated volume: 21.65 Å³/atom
! * ΔE_f: 272 meV/atom
! * symmetry: No. 221



No. 6
! NpSnIr (GGA-PBE, optimized geometry); values from VASP
&SYSTEM
  ibrav = 0, nat = 3, ntyp = 3
/
ATOMIC_SPECIES
Sn 118.71 Sn.upf
Np 237.00 Np.upf
Ir 192.22 Ir.upf
CELL_PARAMETERS angstrom
-1.661 2.745 -3.382
-4.392 1.550 0.202
-0.846 4.503 0.858
ATOMIC_POSITIONS angstrom
Sn 0.000 0.000 0.000
Np -3.449 4.399 -1.161
Ir -1.724 2.200 -0.580
! * calculated volume: 23.87 Å³/atom
! * ΔE_f: -205 meV/atom
! * symmetry: No. 216



No. 7
! V3Cr2W (GGA-PBE, optimized geometry); values from VASP
&SYSTEM
  ibrav = 0, nat = 6, ntyp = 3
/
ATOMIC_SPECIES
V 50.94 V.upf
Cr 52.00 Cr.upf
W 183.84 W.upf
CELL_PARAMETERS angstrom
2.976 0.000 0.000
0.000 2.976 0.000
0.000 0.000 8.945
ATOMIC_POSITIONS angstrom
V 0.000 0.000 2.870
V 0.000 0.000 0.000
Cr 1.488 1.488 7.495
V 0.000 0.000 6.075
W 1.488 1.488 4.473
Cr 1.488 1.488 1.450
! * polymorph energy (0 for the lowest one): 0.0 kJ per mole of atoms
! * calculated volume: 13.21 Å³/atom
! * ΔE_f: -56 meV/atom
! * symmetry: No. 123



No. 8
! Ac2HoCd3In4 (GGA-PBE, optimized geometry); values from VASP
&SYSTEM
  ibrav = 0, nat = 10, ntyp = 4
/
ATOMIC_SPECIES
In 114.82 In.upf
Cd 112.41 Cd.upf
Ac 227.00 Ac.upf
Ho 164.93 Ho.upf
CELL_PARAMETERS angstrom
-4.329 -1.185 1.667
0.975 -4.626 -0.757
4.756 -0.912 11.701
ATOMIC_POSITIONS angstrom
In 2.165 -2.635 3.749
Cd 2.378 -0.456 5.850
Ac 4.105 -3.007 8.523
In -1.677 -2.905 0.455
Ho 0.701 -3.361 6.306
In 0.914 -1.182 8.407
Cd 1.954 -1.382 10.967
Cd 1.124 -2.435 1.189
In 0.000 0.000 0.000
Ac -1.027 -0.810 3.633
! * calculated volume: 29.03 Å³/atom
! * ΔE_f: -335 meV/atom
! * symmetry: No. 115



Repeat the eighth record exactly.
! Ac2HoCd3In4 (GGA-PBE, optimized geometry); values from VASP
&SYSTEM
  ibrav = 0, nat = 10, ntyp = 4
/
ATOMIC_SPECIES
In 114.82 In.upf
Cd 112.41 Cd.upf
Ac 227.00 Ac.upf
Ho 164.93 Ho.upf
CELL_PARAMETERS angstrom
-4.329 -1.185 1.667
0.975 -4.626 -0.757
4.756 -0.912 11.701
ATOMIC_POSITIONS angstrom
In 2.165 -2.635 3.749
Cd 2.378 -0.456 5.850
Ac 4.105 -3.007 8.523
In -1.677 -2.905 0.455
Ho 0.701 -3.361 6.306
In 0.914 -1.182 8.407
Cd 1.954 -1.382 10.967
Cd 1.124 -2.435 1.189
In 0.000 0.000 0.000
Ac -1.027 -0.810 3.633
! * calculated volume: 29.03 Å³/atom
! * ΔE_f: -335 meV/atom
! * symmetry: No. 115



Question: Among the records above, which one has the highest calculated volume?
Answer: SmTl2InSe4